1.
A relaxed CsHfAg crystal, computed with PBE.

Output
The symmetry is No. 216. As for the total magnetic moment: 0.06 μB per cell. The calculation puts the theoretical density at 7.20 g/cm³. As for the crystal system: cubic. The total energy comes out at -3.1304 eV per atom.

abc: 5.1517 5.1517 5.1517
angles: 60.00 60.00 60.00
Element x y z (fractional)
1 Cs 0.0000 0.0000 0.0000
2 Hf 0.7500 0.7500 0.7500
3 Ag 0.5000 0.5000 0.5000



2.
A relaxed CsHfAgO3 crystal, computed with PBE.

Output
The symmetry is No. 62. As for the total magnetic moment: 0.01 μB per cell. The calculation puts the theoretical density at 7.13 g/cm³. As for the crystal system: orthorhombic. The total energy comes out at -6.8033 eV per atom.

abc: 13.1370 3.2994 10.0362
angles: 90.00 90.00 90.00
Element x y z (fractional)
1 Cs 0.2458 0.2500 0.1089
2 Cs 0.2542 0.7500 0.6089
3 Cs 0.7458 0.2500 0.3911
4 Cs 0.7542 0.7500 0.8911
5 Hf 0.0253 0.2500 0.3601
6 Hf 0.4747 0.7500 0.8601
7 Hf 0.5253 0.2500 0.1399
8 Hf 0.9747 0.7500 0.6399
9 Ag 0.0348 0.2500 0.9092
10 Ag 0.4652 0.7500 0.4092
11 Ag 0.5348 0.2500 0.5908
12 Ag 0.9652 0.7500 0.0908
13 O 0.0677 0.2500 0.5581
14 O 0.0846 0.7500 0.7881
15 O 0.1095 0.7500 0.3019
16 O 0.3905 0.2500 0.8019
17 O 0.4154 0.2500 0.2881
18 O 0.4323 0.7500 0.0580
19 O 0.5677 0.2500 0.9420
20 O 0.5846 0.7500 0.7119
21 O 0.6095 0.7500 0.1981
22 O 0.8905 0.2500 0.6981
23 O 0.9154 0.2500 0.2119
24 O 0.9323 0.7500 0.4420



3.
A relaxed CsRbHfAg2Se4 crystal, computed with PBE.

Output
The symmetry is No. 3. As for the total magnetic moment: 0.01 μB per cell. The calculation puts the theoretical density at 5.40 g/cm³. As for the crystal system: monoclinic. The total energy comes out at -4.4866 eV per atom.

abc: 6.3280 6.3057 7.7584
angles: 90.00 112.85 90.00
Element x y z (fractional)
1 Cs 0.0000 0.0000 0.0000
2 Rb 0.5000 0.4748 0.0000
3 Hf 0.5000 0.7317 0.5000
4 Ag 0.0000 0.7349 0.5000
5 Ag 0.5000 0.2337 0.5000
6 Se 0.1692 0.5044 0.2878
7 Se 0.3742 0.9607 0.7132
8 Se 0.6258 0.9607 0.2868
9 Se 0.8308 0.5044 0.7122



4.
A relaxed CsHfAg3S4 crystal, computed with PBE.

Output
The symmetry is No. 215. As for the total magnetic moment: 0.00 μB per cell. The calculation puts the theoretical density at 4.70 g/cm³. As for the crystal system: cubic. The total energy comes out at -4.7806 eV per atom.

abc: 6.4593 6.4593 6.4593
angles: 90.00 90.00 90.00
Element x y z (fractional)
1 Cs 0.0000 0.0000 0.0000
2 Hf 0.5000 0.5000 0.5000
3 Ag 0.0000 0.5000 0.5000
4 Ag 0.5000 0.0000 0.5000
5 Ag 0.5000 0.5000 0.0000
6 S 0.2864 0.2864 0.2864
7 S 0.2864 0.7136 0.7136
8 S 0.7136 0.2864 0.7136
9 S 0.7136 0.7136 0.2864



5.
A relaxed Cs2HfAg2S4 crystal, computed with PBE.

Output
The symmetry is No. 21. As for the total magnetic moment: 0.00 μB per cell. The calculation puts the theoretical density at 4.83 g/cm³. As for the crystal system: orthorhombic. The total energy comes out at -4.8287 eV per atom.

abc: 7.7205 7.7205 6.1787
angles: 90.00 90.00 132.65
Element x y z (fractional)
1 Cs 0.0000 0.5000 0.2354
2 Cs 0.5000 0.0000 0.7647
3 Hf 0.0000 0.0000 0.5000
4 Ag 0.0000 0.0000 0.0000
5 Ag 0.5000 0.5000 0.5000
6 S 0.1224 0.3235 0.7224
7 S 0.3235 0.1224 0.2776
8 S 0.6765 0.8776 0.2776
9 S 0.8776 0.6765 0.7224



6.
A relaxed CsHfAg3S4 crystal, computed with PBE.

Output
The symmetry is No. 11. As for the total magnetic moment: 0.00 μB per cell. The calculation puts the theoretical density at 5.12 g/cm³. As for the crystal system: monoclinic. The total energy comes out at -4.7825 eV per atom.

abc: 6.2262 7.8923 10.5482
angles: 90.00 107.08 90.00
Element x y z (fractional)
1 Cs 0.2074 0.2500 0.3707
2 Cs 0.7926 0.7500 0.6293
3 Hf 0.1392 0.2500 0.7941
4 Hf 0.8608 0.7500 0.2059
5 Ag 0.2853 0.5453 0.0157
6 Ag 0.2853 0.9547 0.0157
7 Ag 0.4014 0.7500 0.2584
8 Ag 0.5986 0.2500 0.7416
9 Ag 0.7147 0.0453 0.9843
10 Ag 0.7147 0.4547 0.9843
11 S 0.0533 0.2500 0.0071
12 S 0.1643 0.7500 0.4044
13 S 0.3548 0.5011 0.7796
14 S 0.3548 0.9989 0.7796
15 S 0.6452 0.0011 0.2204
16 S 0.6452 0.4989 0.2204
17 S 0.8357 0.2500 0.5956
18 S 0.9467 0.7500 0.9929



7.
A relaxed CsHfAgSeS2 crystal, computed with PBE.

Output
The symmetry is No. 63. As for the total magnetic moment: 0.02 μB per cell. The calculation puts the theoretical density at 5.78 g/cm³. As for the crystal system: orthorhombic. The total energy comes out at -5.3346 eV per atom.

abc: 8.2489 8.2489 10.3967
angles: 90.00 90.00 152.84
Element x y z (fractional)
1 Cs 0.2483 0.7517 0.7500
2 Cs 0.7517 0.2483 0.2500
3 Hf 0.0000 0.0000 0.0000
4 Hf 0.0000 0.0000 0.5000
5 Ag 0.4537 0.5463 0.2500
6 Ag 0.5463 0.4537 0.7500
7 Se 0.0647 0.9353 0.2500
8 Se 0.9353 0.0647 0.7500
9 S 0.3927 0.6073 0.0326
10 S 0.3927 0.6073 0.4674
11 S 0.6073 0.3927 0.5326
12 S 0.6073 0.3927 0.9674



8.
A relaxed CsHfAgTeS2 crystal, computed with PBE.

Output
The symmetry is No. 63. As for the total magnetic moment: 0.02 μB per cell. The calculation puts the theoretical density at 5.72 g/cm³. As for the crystal system: orthorhombic. The total energy comes out at -5.1628 eV per atom.

abc: 8.6571 8.6571 10.7835
angles: 90.00 90.00 153.98
Element x y z (fractional)
1 Cs 0.2256 0.7744 0.7500
2 Cs 0.7744 0.2256 0.2500
3 Hf 0.0000 0.0000 0.0000
4 Hf 0.0000 0.0000 0.5000
5 Ag 0.4657 0.5343 0.2500
6 Ag 0.5343 0.4657 0.7500
7 Te 0.0816 0.9184 0.2500
8 Te 0.9184 0.0816 0.7500
9 S 0.4009 0.5991 0.0437
10 S 0.4009 0.5991 0.4563
11 S 0.5991 0.4009 0.5437
12 S 0.5991 0.4009 0.9563



9.
A relaxed CsHfAgTe2S crystal, computed with PBE.

Output
The symmetry is No. 63. As for the total magnetic moment: 0.00 μB per cell. The calculation puts the theoretical density at 5.96 g/cm³. As for the crystal system: orthorhombic. The total energy comes out at -4.8593 eV per atom.

abc: 9.3579 9.3579 10.1491
angles: 90.00 90.00 153.72
Element x y z (fractional)
1 Cs 0.2322 0.7678 0.7500
2 Cs 0.7678 0.2322 0.2500
3 Hf 0.0000 0.0000 0.0000
4 Hf 0.0000 0.0000 0.5000
5 Ag 0.4494 0.5506 0.2500
6 Ag 0.5506 0.4494 0.7500
7 Te 0.3857 0.6143 0.0056
8 Te 0.3857 0.6143 0.4944
9 Te 0.6143 0.3857 0.5056
10 Te 0.6143 0.3857 0.9944
11 S 0.0274 0.9726 0.2500
12 S 0.9726 0.0274 0.7500



10.
A relaxed CsHfAgSe3 crystal, computed with PBE.

Output
The symmetry is No. 62. As for the total magnetic moment: 0.01 μB per cell. The calculation puts the theoretical density at 6.34 g/cm³. As for the crystal system: orthorhombic. The total energy comes out at -4.9867 eV per atom.

abc: 13.5200 3.9601 12.8399
angles: 90.00 90.00 90.00
Element x y z (fractional)
1 Cs 0.1802 0.2500 0.0340
2 Cs 0.3198 0.7500 0.5340
3 Cs 0.6802 0.2500 0.4660
4 Cs 0.8198 0.7500 0.9660
5 Hf 0.0291 0.2500 0.3425
6 Hf 0.4709 0.7500 0.8425
7 Hf 0.5291 0.2500 0.1575
8 Hf 0.9709 0.7500 0.6575
9 Ag 0.1760 0.2500 0.7462
10 Ag 0.3240 0.7500 0.2462
11 Ag 0.6760 0.2500 0.7538
12 Ag 0.8240 0.7500 0.2538
13 Se 0.0126 0.7500 0.1977
14 Se 0.0794 0.2500 0.5593
15 Se 0.2160 0.2500 0.3216
16 Se 0.2840 0.7500 0.8216
17 Se 0.4206 0.7500 0.0593
18 Se 0.4874 0.2500 0.6977
19 Se 0.5126 0.7500 0.3023
20 Se 0.5794 0.2500 0.9407
21 Se 0.7160 0.2500 0.1784
22 Se 0.7840 0.7500 0.6784
23 Se 0.9206 0.7500 0.4407
24 Se 0.9874 0.2500 0.8023



11.
A relaxed CsHfAgSe3 crystal, computed with PBE.

Output
The symmetry is No. 62. As for the total magnetic moment: 0.02 μB per cell. The calculation puts the theoretical density at 6.27 g/cm³. As for the crystal system: orthorhombic. The total energy comes out at -5.0663 eV per atom.

abc: 10.8959 3.9656 16.0920
angles: 90.00 90.00 90.00
Element x y z (fractional)
1 Cs 0.2503 0.2500 0.0004
2 Cs 0.2497 0.7500 0.5004
3 Cs 0.7503 0.2500 0.4996
4 Cs 0.7497 0.7500 0.9996
5 Hf 0.0286 0.2500 0.2579
6 Hf 0.4714 0.7500 0.7579
7 Hf 0.5286 0.2500 0.2421
8 Hf 0.9714 0.7500 0.7421
9 Ag 0.2499 0.2500 0.7056
10 Ag 0.2501 0.7500 0.2056
11 Ag 0.7499 0.2500 0.7944
12 Ag 0.7501 0.7500 0.2944
13 Se 0.0313 0.7500 0.1407
14 Se 0.0366 0.2500 0.6344
15 Se 0.2465 0.2500 0.3154
16 Se 0.2535 0.7500 0.8154
17 Se 0.4634 0.7500 0.1344
18 Se 0.4687 0.2500 0.6407
19 Se 0.5313 0.7500 0.3593
20 Se 0.5366 0.2500 0.8656
21 Se 0.7465 0.2500 0.1846
22 Se 0.7535 0.7500 0.6846
23 Se 0.9634 0.7500 0.3656
24 Se 0.9687 0.2500 0.8593



12.
A relaxed CsHfAgSe3 crystal, computed with PBE.

Output
The symmetry is No. 62. As for the total magnetic moment: 0.03 μB per cell. The calculation puts the theoretical density at 6.28 g/cm³. As for the crystal system: orthorhombic. The total energy comes out at -5.1045 eV per atom.

abc: 16.0662 4.0107 10.7704
angles: 90.00 90.00 90.00
Element x y z (fractional)
1 Cs 0.2343 0.2500 0.0447
2 Cs 0.2657 0.7500 0.5447
3 Cs 0.7343 0.2500 0.4553
4 Cs 0.7657 0.7500 0.9553
5 Hf 0.0136 0.2500 0.3315
6 Hf 0.4864 0.7500 0.8315
7 Hf 0.5136 0.2500 0.1685
8 Hf 0.9864 0.7500 0.6685
9 Ag 0.0158 0.7500 0.0932
10 Ag 0.4842 0.2500 0.5932
11 Ag 0.5158 0.7500 0.4068
12 Ag 0.9842 0.2500 0.9068
13 Se 0.0805 0.2500 0.5677
14 Se 0.0911 0.7500 0.8555
15 Se 0.1232 0.7500 0.2770
16 Se 0.3768 0.2500 0.7770
17 Se 0.4089 0.2500 0.3555
18 Se 0.4195 0.7500 0.0677
19 Se 0.5805 0.2500 0.9323
20 Se 0.5911 0.7500 0.6445
21 Se 0.6232 0.7500 0.2230
22 Se 0.8768 0.2500 0.7230
23 Se 0.9089 0.2500 0.1445
24 Se 0.9195 0.7500 0.4323



13.
A relaxed CsHfAgSe3 crystal, computed with PBE.

Output
The symmetry is No. 12. As for the total magnetic moment: 0.00 μB per cell. The calculation puts the theoretical density at 6.56 g/cm³. As for the crystal system: monoclinic. The total energy comes out at -4.9212 eV per atom.

abc: 9.0998 9.0998 9.6170
angles: 98.21 98.21 24.95
Element x y z (fractional)
1 Cs 0.1516 0.1516 0.0573
2 Cs 0.8484 0.8484 0.9427
3 Hf 0.1582 0.1582 0.5627
4 Hf 0.8418 0.8418 0.4373
5 Ag 0.4884 0.4884 0.2705
6 Ag 0.5116 0.5116 0.7295
7 Se 0.0000 0.0000 0.5000
8 Se 0.3181 0.3181 0.6216
9 Se 0.3350 0.3350 0.2517
10 Se 0.5000 0.5000 0.0000
11 Se 0.6650 0.6650 0.7483
12 Se 0.6819 0.6819 0.3784



14.
A relaxed CsHfAgSe3 crystal, computed with PBE.

Output
The symmetry is No. 62. As for the total magnetic moment: 0.00 μB per cell. The calculation puts the theoretical density at 5.66 g/cm³. As for the crystal system: orthorhombic. The total energy comes out at -5.0410 eV per atom.

abc: 9.5872 4.8987 16.4076
angles: 90.00 90.00 90.00
Element x y z (fractional)
1 Cs 0.0327 0.2500 0.2175
2 Cs 0.4673 0.7500 0.7175
3 Cs 0.5327 0.2500 0.2825
4 Cs 0.9673 0.7500 0.7825
5 Hf 0.1784 0.2500 0.9816
6 Hf 0.3216 0.7500 0.4816
7 Hf 0.6784 0.2500 0.5184
8 Hf 0.8216 0.7500 0.0184
9 Ag 0.0046 0.7500 0.4349
10 Ag 0.4954 0.2500 0.9349
11 Ag 0.5046 0.7500 0.0651
12 Ag 0.9954 0.2500 0.5651
13 Se 0.1059 0.7500 0.0268
14 Se 0.1273 0.7500 0.5883
15 Se 0.2376 0.7500 0.3390
16 Se 0.2624 0.2500 0.8390
17 Se 0.3727 0.2500 0.0883
18 Se 0.3941 0.2500 0.5268
19 Se 0.6059 0.7500 0.4732
20 Se 0.6273 0.7500 0.9117
21 Se 0.7376 0.7500 0.1610
22 Se 0.7624 0.2500 0.6610
23 Se 0.8727 0.2500 0.4117
24 Se 0.8941 0.2500 0.9732



15.
A relaxed Cs2HfAg2Se4 crystal, computed with PBE.

Output
The symmetry is No. 21. As for the total magnetic moment: 0.01 μB per cell. The calculation puts the theoretical density at 5.52 g/cm³. As for the crystal system: orthorhombic. The total energy comes out at -4.4889 eV per atom.

abc: 7.9495 7.9495 6.3416
angles: 90.00 90.00 132.87
Element x y z (fractional)
1 Cs 0.0000 0.5000 0.2369
2 Cs 0.5000 0.0000 0.7631
3 Hf 0.0000 0.0000 0.5000
4 Ag 0.0000 0.0000 0.0000
5 Ag 0.5000 0.5000 0.5000
6 Se 0.1249 0.3318 0.7277
7 Se 0.3318 0.1249 0.2723
8 Se 0.6682 0.8751 0.2723
9 Se 0.8751 0.6682 0.7277



16.
A relaxed CsHfAgSe3 crystal, computed with PBE.

Output
The symmetry is No. 63. As for the total magnetic moment: 0.01 μB per cell. The calculation puts the theoretical density at 6.42 g/cm³. As for the crystal system: orthorhombic. The total energy comes out at -5.0560 eV per atom.

abc: 8.3414 8.3414 10.5080
angles: 90.00 90.00 152.32
Element x y z (fractional)
1 Cs 0.2499 0.7501 0.7500
2 Cs 0.7501 0.2499 0.2500
3 Hf 0.0000 0.0000 0.0000
4 Hf 0.0000 0.0000 0.5000
5 Ag 0.4562 0.5438 0.2500
6 Ag 0.5438 0.4562 0.7500
7 Se 0.0614 0.9386 0.2500
8 Se 0.3860 0.6140 0.0302
9 Se 0.3860 0.6140 0.4698
10 Se 0.6140 0.3860 0.5302
11 Se 0.6140 0.3860 0.9698
12 Se 0.9386 0.0614 0.7500



17.
A relaxed CsAgHg3 crystal, computed with PBE.

Output
The symmetry is No. 63. The calculation puts the theoretical density at 8.50 g/cm³. As for the crystal system: orthorhombic. The total energy comes out at -1.0578 eV per atom.

abc: 6.9382 6.9382 7.4720
angles: 90.00 90.00 113.72
Element x y z (fractional)
1 Cs 0.2362 0.7638 0.7500
2 Cs 0.7638 0.2362 0.2500
3 Ag 0.3675 0.6325 0.2500
4 Ag 0.6325 0.3675 0.7500
5 Hg 0.1211 0.8789 0.2500
6 Hg 0.2772 0.2772 0.0000
7 Hg 0.2772 0.2772 0.5000
8 Hg 0.7228 0.7228 0.0000
9 Hg 0.7228 0.7228 0.5000
10 Hg 0.8789 0.1211 0.7500



18.
A relaxed CsAgHg crystal, computed with PBE.

Output
The symmetry is No. 216. The calculation puts the theoretical density at 5.60 g/cm³. As for the crystal system: cubic. The total energy comes out at -1.3191 eV per atom.

abc: 5.6986 5.6986 5.6986
angles: 60.00 60.00 60.00
Element x y z (fractional)
1 Cs 0.0000 0.0000 0.0000
2 Ag 0.2500 0.2500 0.2500
3 Hg 0.5000 0.5000 0.5000



19.
A relaxed CsAgHg crystal, computed with PBE.

Output
The symmetry is No. 216. The calculation puts the theoretical density at 5.54 g/cm³. As for the crystal system: cubic. The total energy comes out at -1.2917 eV per atom.

abc: 5.7198 5.7198 5.7198
angles: 60.00 60.00 60.00
Element x y z (fractional)
1 Cs 0.0000 0.0000 0.0000
2 Ag 0.5000 0.5000 0.5000
3 Hg 0.7500 0.7500 0.7500